No. 1
Compound: MnNi6O8
Source: the Alexandria database
Functional: PBEsol
Structure: optimized geometry

Cell: 5.744 5.744 5.744 Å, 60.00 60.00 60.00°
Last column: magnetic moment on the atom in μB.
Atoms (fractional coordinates):
Mn1 0.500 0.500 0.500  2.59
Ni1 0.500 0.500 0.000  -0.06
Ni2 0.000 0.500 0.500  -0.06
Ni3 0.000 0.500 0.000  -0.06
Ni4 0.500 0.000 0.500  -0.06
Ni5 0.000 0.000 0.500  -0.06
Ni6 0.500 0.000 0.000  -0.06
O1 0.250 0.250 0.250  -0.03
O2 0.750 0.750 0.750  -0.03
O3 0.734 0.266 0.734  0.00
O4 0.266 0.266 0.734  0.00
O5 0.734 0.734 0.266  0.00
O6 0.266 0.734 0.734  0.00
O7 0.734 0.266 0.266  0.00
O8 0.266 0.734 0.266  0.00

Output
Energy relative to the elements, uncorrected = -71.8 kJ/mol of atoms

=====

No. 2
Compound: B2MoIr2
Source: the Alexandria database
Functional: PBEsol
Structure: optimized geometry

Cell: 3.693 3.693 4.982 Å, 111.75 111.75 90.00°
Last column: magnetic moment on the atom in μB.
Atoms (fractional coordinates):
Mo1 0.000 0.000 0.000  0.09
Ir1 0.250 0.750 0.500  0.00
Ir2 0.750 0.250 0.500  0.00
B1 0.394 0.394 0.787  0.00
B2 0.606 0.606 0.213  0.00

Output
Energy relative to the elements = -0.269 eV/f.u.

=====

Which uncorrected energy belongs to each record? In order, -6.66; -9.14 eV per atom.